No. 1
Computed, not measured: a relaxed Sm2YO crystal at the GGA-PBE level of DFT.

abc: 9.4923 9.4923 9.4923
angles: 21.81 21.81 21.81
Sites, in units of the cell vectors:
Sm: 0.1189 0.1189 0.1189
Sm: 0.8811 0.8811 0.8811
Y: 0.0000 0.0000 0.0000
O: 0.5000 0.5000 0.5000

Output
- ΔE_f (raw): -4.63 eV per formula unit
- VASP energy: -25.488 eV/cell

---

No. 2
Computed, not measured: a relaxed BeTePt crystal at the GGA-PBE level of DFT.

abc: 4.2219 4.2219 7.8926
angles: 94.38 94.38 60.39
Sites, in units of the cell vectors:
Be: 0.2500 0.7500 0.0000
Be: 0.7500 0.2500 0.0000
Te: 0.0666 0.0666 0.7004
Te: 0.6233 0.6233 0.2987
Pt: 0.2588 0.2588 0.1224
Pt: 0.7354 0.7354 0.8771

Output
- ΔE_f (raw): -1.23 eV per formula unit
- VASP energy: -28.269 eV/cell

---

No. 3
Computed, not measured: a relaxed PuPa2Ti crystal at the GGA-PBE level of DFT.

abc: 4.9764 4.9764 4.9764
angles: 60.00 60.00 60.00
Sites, in units of the cell vectors:
Pu: 0.0000 0.0000 0.0000
Pa: 0.2500 0.2500 0.2500
Pa: 0.7500 0.7500 0.7500
Ti: 0.5000 0.5000 0.5000

Output
- DFT formation energy: 0.092 eV/atom
- VASP energy: -40.852 eV/cell

---

No. 4
Computed, not measured: a relaxed LaPrMgPb crystal at the GGA-PBE level of DFT.

abc: 5.5816 5.5816 5.5816
angles: 60.00 60.00 60.00
Sites, in units of the cell vectors:
La: 0.0000 0.0000 0.0000
Pr: 0.5000 0.5000 0.5000
Mg: 0.2500 0.2500 0.2500
Pb: 0.7500 0.7500 0.7500

Output
- DFT formation energy: -0.355 eV/atom
- VASP energy: -16.431 eV/cell

---

No. 5
Computed, not measured: a relaxed Rb2SeBr6Cl crystal at the GGA-PBE level of DFT.

abc: 8.0550 8.0550 8.0550
angles: 122.50 122.50 85.72
Sites, in units of the cell vectors:
Rb: 0.2500 0.7500 0.5000
Rb: 0.7500 0.2500 0.5000
Se: 0.0000 0.0000 0.0000
Br: 0.2206 0.2206 0.0000
Br: 0.2385 0.2385 0.4770
Br: 0.2385 0.7615 0.0000
Br: 0.7615 0.2385 0.0000
Br: 0.7615 0.7615 0.5230
Br: 0.7794 0.7794 0.0000
Cl: 0.5000 0.5000 0.0000

Output
- ΔE_f (raw): -7.46 eV per formula unit
- VASP energy: -24.766 eV/cell

---

No. 6
Computed, not measured: a relaxed K8IO4 crystal at the GGA-PBE level of DFT.

abc: 8.5155 8.5155 8.5155
angles: 60.00 60.00 60.00
Sites, in units of the cell vectors:
K: 0.4044 0.4044 0.4044
K: 0.4044 0.4044 0.7868
K: 0.4044 0.7868 0.4044
K: 0.4514 0.8495 0.8495
K: 0.7868 0.4044 0.4044
K: 0.8495 0.4514 0.8495
K: 0.8495 0.8495 0.4514
K: 0.8495 0.8495 0.8495
I: 0.2500 0.2500 0.2500
O: 0.1190 0.6270 0.6270
O: 0.6270 0.1190 0.6270
O: 0.6270 0.6270 0.1190
O: 0.6270 0.6270 0.6270

Output
- ΔE_f (raw): -13.18 eV per formula unit
- VASP energy: -43.347 eV/cell

---

No. 7
Computed, not measured: a relaxed Na4TlHg crystal at the GGA-PBE level of DFT.

abc: 6.3485 6.3485 6.3485
angles: 60.00 60.00 60.00
Sites, in units of the cell vectors:
Na: 0.1249 0.1249 0.1249
Na: 0.1249 0.1249 0.6254
Na: 0.1249 0.6254 0.1249
Na: 0.6254 0.1249 0.1249
Tl: 0.5000 0.5000 0.5000
Hg: 0.7500 0.7500 0.7500

Output
- DFT formation energy: 0.021 eV/atom
- VASP energy: -7.816 eV/cell

---

No. 8
Computed, not measured: a relaxed LuHfIr2 crystal at the GGA-PBE level of DFT.

abc: 4.6917 4.6917 4.6917
angles: 60.00 60.00 60.00
Sites, in units of the cell vectors:
Lu: 0.0000 0.0000 0.0000
Hf: 0.5000 0.5000 0.5000
Ir: 0.2500 0.2500 0.2500
Ir: 0.7500 0.7500 0.7500

Output
- DFT formation energy: -0.935 eV/atom
- VASP energy: -35.938 eV/cell

---

No. 9
Computed, not measured: a relaxed Pu2ReSi6Rh crystal at the GGA-PBE level of DFT.

abc: 6.5631 6.5631 6.5631
angles: 60.00 60.00 60.00
Sites, in units of the cell vectors:
Pu: 0.2500 0.2500 0.2500
Pu: 0.7500 0.7500 0.7500
Re: 0.0000 0.0000 0.0000
Si: 0.2525 0.2525 0.7475
Si: 0.2525 0.7475 0.2525
Si: 0.2525 0.7475 0.7475
Si: 0.7475 0.2525 0.2525
Si: 0.7475 0.2525 0.7475
Si: 0.7475 0.7475 0.2525
Rh: 0.5000 0.5000 0.5000

Output
- ΔE_f (raw): 1.38 eV per formula unit
- VASP energy: -79.621 eV/cell

---

No. 10
Computed, not measured: a relaxed LiLaZrAl crystal at the GGA-PBE level of DFT.

abc: 5.0781 5.0781 5.0781
angles: 60.00 60.00 60.00
Sites, in units of the cell vectors:
Li: 0.0000 0.0000 0.0000
La: 0.2500 0.2500 0.2500
Zr: 0.7500 0.7500 0.7500
Al: 0.5000 0.5000 0.5000

Output
- DFT formation energy: -0.061 eV/atom
- VASP energy: -19.377 eV/cell

---

No. 11
Computed, not measured: a relaxed LaNi3Ir2 crystal at the GGA-PBE level of DFT.

abc: 6.3074 6.3074 5.1261
angles: 90.00 90.00 82.17
Sites, in units of the cell vectors:
La: 0.1971 0.8029 0.7500
La: 0.8029 0.1971 0.2500
Ni: 0.0432 0.5703 0.2500
Ni: 0.4297 0.9568 0.2500
Ni: 0.4333 0.5667 0.2500
Ni: 0.5667 0.4333 0.7500
Ni: 0.5703 0.0432 0.7500
Ni: 0.9568 0.4297 0.7500
Ir: 0.2798 0.2798 0.0000
Ir: 0.2798 0.2798 0.5000
Ir: 0.7202 0.7202 0.0000
Ir: 0.7202 0.7202 0.5000

Output
- DFT formation energy: -0.278 eV/atom
- VASP energy: -83.318 eV/cell

---

No. 12
Computed, not measured: a relaxed ErIn2Cl5 crystal at the GGA-PBE level of DFT.

abc: 12.6989 8.3883 8.7178
angles: 90.00 90.00 90.00
Sites, in units of the cell vectors:
Er: 0.0062 0.2500 0.0743
Er: 0.4938 0.7500 0.5743
Er: 0.5062 0.2500 0.4257
Er: 0.9938 0.7500 0.9257
In: 0.1668 0.0158 0.6077
In: 0.1668 0.4842 0.6077
In: 0.3332 0.5158 0.1077
In: 0.3332 0.9842 0.1077
In: 0.6668 0.0158 0.8923
In: 0.6668 0.4842 0.8923
In: 0.8332 0.5158 0.3923
In: 0.8332 0.9842 0.3923
Cl: 0.0035 0.2500 0.3915
Cl: 0.0523 0.5520 0.1624
Cl: 0.0523 0.9480 0.1624
Cl: 0.1973 0.2500 0.9514
Cl: 0.1973 0.7500 0.8644
Cl: 0.3027 0.2500 0.3644
Cl: 0.3027 0.7500 0.4514
Cl: 0.4477 0.0520 0.6624
Cl: 0.4477 0.4480 0.6624
Cl: 0.4965 0.7500 0.8915
Cl: 0.5035 0.2500 0.1085
Cl: 0.5523 0.5520 0.3376
Cl: 0.5523 0.9480 0.3376
Cl: 0.6973 0.2500 0.5486
Cl: 0.6973 0.7500 0.6356
Cl: 0.8027 0.2500 0.1356
Cl: 0.8027 0.7500 0.0486
Cl: 0.9477 0.0520 0.8376
Cl: 0.9477 0.4480 0.8376
Cl: 0.9965 0.7500 0.6085

Output
- ΔE_f (raw): -12.50 eV per formula unit
- VASP energy: -127.102 eV/cell